Entry from the Alexandria database: a relaxed structure of KBePS2 (PBEsol).

a b c (Å): 4.193 4.659 4.659
angles (deg): 90.00 90.00 90.00
Sites, in units of the cell vectors:
1 S 0.000 0.000 0.500
2 S 0.000 0.500 0.000
3 P 0.500 0.000 0.000
4 Be 0.000 0.000 0.000
5 K 0.500 0.500 0.500

Output
The calculation puts the density of states at the Fermi level at 2.87 states/eV/f.u. The calculation puts the energy above the most stable polymorph in this dataset at 0.0 meV per atom. The value obtained for the total magnetization is 0.00 μB/f.u. The value obtained for the uncorrected formation energy is -0.006 eV/atom.